1.
Density functional theory data (GGA-PBE) for a geometry-optimized Sm2TiSe5 structure.

## Properties
E_form (uncorrected) ... -1.440 eV/atom
Symmetry ... Cmcm, No. 63
Calculated density ... 4904 kg/m3

abc: 5.507 7.485 13.134
angles: 90.00 90.00 111.59
Fractional coordinates of all 16 atoms:
Ti 0.824 0.649 0.750
Ti 0.176 0.351 0.250
Se 0.697 0.394 0.904
Se 0.303 0.606 0.404
Se 0.047 0.095 0.376
Se 0.697 0.394 0.596
Se 0.719 0.439 0.250
Se 0.953 0.905 0.876
Se 0.303 0.606 0.096
Se 0.047 0.095 0.124
Se 0.281 0.561 0.750
Se 0.953 0.905 0.624
Sm 0.154 0.307 0.934
Sm 0.846 0.693 0.434
Sm 0.154 0.307 0.566
Sm 0.846 0.693 0.066

---

2.
Density functional theory data (GGA-PBE) for a geometry-optimized Sm2TiTl2Se6 structure.

## Properties
E_form (uncorrected) ... -1.258 eV/atom
Symmetry ... C2/m, No. 12
Calculated density ... 6128 kg/m3

abc: 7.040 7.040 8.121
angles: 98.83 98.83 119.50
Each line ends with the local moment (μB).
Fractional coordinates of all 11 atoms:
Se 0.373 0.072 0.701  0.00
Se 0.771 0.771 0.701  0.00
Se 0.627 0.928 0.299  0.00
Se 0.928 0.627 0.299  0.00
Se 0.229 0.229 0.299  0.00
Se 0.072 0.373 0.701  0.00
Sm 0.332 0.668 0.500  0.00
Sm 0.668 0.332 0.500  0.00
Ti 0.000 0.000 0.500  0.11
Tl 0.827 0.173 0.000  0.00
Tl 0.173 0.827 0.000  0.00

---

3.
Density functional theory data (GGA-PBE) for a geometry-optimized Sm3TiTl4Se8 structure.

## Properties
E_form (uncorrected) ... -1.209 eV/atom
Symmetry ... R-3m, No. 166
Calculated density ... 6945 kg/m3

abc: 8.321 9.134 8.322
angles: 117.10 120.00 90.00
Each line ends with the local moment (μB).
Fractional coordinates of all 16 atoms:
Ti 0.000 0.500 0.000  0.88
Se 0.778 0.299 0.021  -0.01
Se 0.778 0.299 0.556  -0.01
Se 0.757 0.701 0.979  -0.01
Se 0.222 0.701 0.979  -0.01
Se 0.222 0.701 0.444  -0.01
Se 0.738 0.713 0.475  0.00
Se 0.243 0.299 0.021  -0.01
Se 0.262 0.287 0.525  0.00
Sm 0.500 0.500 0.500  0.01
Sm 0.000 0.500 0.500  0.01
Sm 0.500 0.500 0.000  0.01
Tl 0.000 0.000 0.000  0.00
Tl 0.500 0.000 0.500  0.00
Tl 0.000 0.000 0.500  0.00
Tl 0.500 0.000 0.000  0.00